The following is a PBE with a Hubbard U calculation of Sr3Be2MoO6 after structural relaxation, from the Alexandria database.

Structure (POSCAR):
```
Sr3Be2MoO6
1.0
5.5307 0.0000 0.0000
-2.7654 4.7897 0.0000
0.0000 0.0000 6.7901
O Sr Be Mo
6 3 2 1
direct
0.8263 0.1737 0.7011
0.3473 0.1737 0.7011
0.8263 0.6527 0.7011
0.6527 0.8263 0.2989
0.1737 0.8263 0.2989
0.1737 0.3473 0.2989
0.3333 0.6667 0.6757
0.6667 0.3333 0.3243
0.0000 0.0000 0.0000
0.6667 0.3333 0.7370
0.3333 0.6667 0.2630
0.0000 0.0000 0.5000
```

Properties
The spin magnetization comes out at 2.3 μB/f.u. The value obtained for the total energy is -6.454 eV/atom.